(1)
YFe22B6 | PBE | relaxed

a b c (Å): 7.5690 7.5690 7.5690
angles (deg): 60.00 60.00 60.00
Last column: nearest neighbours and their distance in Å.
Sites, in units of the cell vectors:
Y 0.0000 0.0000 0.0000  12 Fe 2.66, 6 B 2.92
Fe 0.0000 0.0000 0.3516  2 B 2.15, 1 Fe 2.25
Fe 0.0000 0.0000 0.6484  2 B 2.15, 1 Fe 2.25
Fe 0.0000 0.3516 0.0000  2 B 2.15, 1 Fe 2.25
Fe 0.0000 0.3516 0.6484  2 B 2.15, 1 Fe 2.25
Fe 0.0000 0.6484 0.0000  2 B 2.15, 1 Fe 2.25
Fe 0.0000 0.6484 0.3516  2 B 2.15, 1 Fe 2.25
Fe 0.1459 0.6180 0.6180  3 B 2.14
Fe 0.2500 0.2500 0.2500  4 Fe 2.45
Fe 0.3516 0.0000 0.0000  2 B 2.15, 1 Fe 2.25
Fe 0.3516 0.0000 0.6484  2 B 2.15, 1 Fe 2.25
Fe 0.3516 0.6484 0.0000  2 B 2.15, 1 Fe 2.25
Fe 0.3820 0.3820 0.3820  3 B 2.14
Fe 0.3820 0.3820 0.8541  3 B 2.14
Fe 0.3820 0.8541 0.3820  3 B 2.14
Fe 0.6180 0.1459 0.6180  3 B 2.14
Fe 0.6180 0.6180 0.1459  3 B 2.14
Fe 0.6180 0.6180 0.6180  3 B 2.14
Fe 0.6484 0.0000 0.0000  2 B 2.15, 1 Fe 2.25
Fe 0.6484 0.0000 0.3516  2 B 2.15, 1 Fe 2.25
Fe 0.6484 0.3516 0.0000  2 B 2.15, 1 Fe 2.25
Fe 0.7500 0.7500 0.7500  4 Fe 2.45
Fe 0.8541 0.3820 0.3820  3 B 2.14
B 0.2728 0.2728 0.7272  8 Fe 2.14-2.15
B 0.2728 0.7272 0.2728  8 Fe 2.14-2.15
B 0.2728 0.7272 0.7272  8 Fe 2.14-2.15
B 0.7272 0.2728 0.2728  8 Fe 2.14-2.15
B 0.7272 0.2728 0.7272  8 Fe 2.14-2.15
B 0.7272 0.7272 0.2728  8 Fe 2.14-2.15

Calculated values
For the formation energy from the elements, the calculation gives -0.134 eV per atom. The value obtained for the density of states at the Fermi level is 18.039 states/eV/f.u. The value obtained for the calculated total energy is -236.59 eV/cell. Its symmetry is No. 225.

---

(2)
Ti3CdN | PBE | relaxed

a b c (Å): 3.0190 4.1766 12.0501
angles (deg): 90.00 90.01 90.00
Last column: nearest neighbours and their distance in Å.
Sites, in units of the cell vectors:
Ti 0.0000 0.0000 0.0000  4 N 2.10
Ti 0.0003 0.0000 0.2345  2 N 2.04
Ti 0.0026 0.0000 0.7402  11 Ti 2.88-3.13, 1 Cd 2.94
Ti 0.5003 0.5000 0.1053  4 N 2.09-2.10
Ti 0.5003 0.5000 0.8655  2 N 2.09
Ti 0.5030 0.5000 0.6340  7 Ti 2.79-3.02, 4 Cd 3.06
Cd 0.0032 0.0000 0.4965  6 Ti 2.94-3.16, 6 Cd 3.02-3.05
Cd 0.5012 0.5000 0.3615  6 Ti 3.00-3.28, 6 Cd 3.02-3.05
N 0.0002 0.5000 0.9852  6 Ti 2.09-2.10
N 0.5001 0.0000 0.1207  6 Ti 2.04-2.10

Calculated values
The energy relative to the elements, uncorrected is -0.748 eV per atom. The value obtained for the density of states at the Fermi level is 3.798 states/eV/f.u. The value obtained for the calculated total energy is -73.33 eV/cell. Its symmetry is No. 6.

---

Question: Look up the calculated total energy of the first one.
Answer: -236.59 eV/cell

---

Question: Look up the calculated total energy of the first one.
Answer: -236.59 eV/cell